A relaxed Ac3Pd4Au2 crystal. Source: Alexandria, functional PBE.

```
data_Ac3Pd4Au2
_chemical_formula_sum 'Ac3 Pd4 Au2'
_symmetry_space_group_name_H-M 'P 1'
_symmetry_Int_Tables_number 1
_cell_length_a 6.197
_cell_length_b 6.197
_cell_length_c 9.091
_cell_angle_alpha 108.63
_cell_angle_beta 108.63
_cell_angle_gamma 44.11
loop_
_symmetry_equiv_pos_as_xyz
'x,y,z'
loop_
_atom_site_label
_atom_site_type_symbol
_atom_site_fract_x
_atom_site_fract_y
_atom_site_fract_z
Ac1 Ac 0.000 0.000 0.000
Ac2 Ac 0.339 0.339 0.327
Ac3 Ac 0.661 0.661 0.673
Pd1 Pd 0.059 0.059 0.395
Pd2 Pd 0.276 0.276 0.944
Pd3 Pd 0.724 0.724 0.056
Pd4 Pd 0.941 0.941 0.605
Au1 Au 0.382 0.382 0.719
Au2 Au 0.618 0.618 0.281
```

ΔE to the lowest computed polymorph   0 meV/atom
DFT formation energy   -78.16 kJ/mol of atoms
DOS(E_F)   3.06 states/eV/f.u.

---

A relaxed FeCoMo crystal. Source: Alexandria, functional PBE.

```
data_FeCoMo
_chemical_formula_sum 'Fe1 Co1 Mo1'
_symmetry_space_group_name_H-M 'P 1'
_symmetry_Int_Tables_number 1
_cell_length_a 5.847
_cell_length_b 5.847
_cell_length_c 5.847
_cell_angle_alpha 154.25
_cell_angle_beta 154.25
_cell_angle_gamma 36.74
loop_
_symmetry_equiv_pos_as_xyz
'x,y,z'
loop_
_atom_site_label
_atom_site_type_symbol
_atom_site_fract_x
_atom_site_fract_y
_atom_site_fract_z
Fe1 Fe 0.000 0.000 0.000
Co1 Co 0.646 0.646 0.000
Mo1 Mo 0.316 0.316 0.000
```

ΔE to the lowest computed polymorph   83 meV/atom
DFT formation energy   8.56 kJ/mol of atoms
DOS(E_F)   2.97 states/eV/f.u.

---

A relaxed ZrTa2Cd crystal. Source: Alexandria, functional PBE.

```
data_ZrTa2Cd
_chemical_formula_sum 'Zr1 Ta2 Cd1'
_symmetry_space_group_name_H-M 'P 1'
_symmetry_Int_Tables_number 1
_cell_length_a 2.884
_cell_length_b 2.884
_cell_length_c 9.576
_cell_angle_alpha 90.00
_cell_angle_beta 90.00
_cell_angle_gamma 90.00
loop_
_symmetry_equiv_pos_as_xyz
'x,y,z'
loop_
_atom_site_label
_atom_site_type_symbol
_atom_site_fract_x
_atom_site_fract_y
_atom_site_fract_z
Zr1 Zr 0.000 0.000 0.000
Ta1 Ta 0.000 0.000 0.513
Ta2 Ta 0.500 0.500 0.752
Cd1 Cd 0.500 0.500 0.265
```

DFT formation energy   12.50 kJ/mol of atoms
DOS(E_F)   3.98 states/eV/f.u.

---

A relaxed NaLa2BeRu crystal. Source: Alexandria, functional PBE.

```
data_NaLa2BeRu
_chemical_formula_sum 'Na1 La2 Be1 Ru1'
_symmetry_space_group_name_H-M 'P 1'
_symmetry_Int_Tables_number 1
_cell_length_a 5.494
_cell_length_b 5.494
_cell_length_c 4.619
_cell_angle_alpha 90.00
_cell_angle_beta 90.00
_cell_angle_gamma 90.00
loop_
_symmetry_equiv_pos_as_xyz
'x,y,z'
loop_
_atom_site_label
_atom_site_type_symbol
_atom_site_fract_x
_atom_site_fract_y
_atom_site_fract_z
Na1 Na 0.000 0.000 0.000
La1 La 0.000 0.500 0.500
La2 La 0.500 0.000 0.500
Be1 Be 0.500 0.500 0.000
Ru1 Ru 0.500 0.500 0.500
```

DFT formation energy   5.60 kJ/mol of atoms
DOS(E_F)   5.66 states/eV/f.u.

---

| no. | total DFT energy (no corrections) (eV per atom) |
| --- | --- |
| 1 | -5.2158 |
| 2 | -8.7111 |
| 3 | -8.1626 |
| 4 | -4.7772 |